The following is a PBE with a Hubbard U calculation of an optimized crystal structure of MgAlWO6, from the Alexandria database.

Cell and atoms, written as CIF:
```
data_MgAlWO6
_chemical_formula_sum 'Mg2 Al2 W2 O12'
_cell_length_a 5.0458
_cell_length_b 5.0458
_cell_length_c 8.9581
_cell_angle_alpha 90.00
_cell_angle_beta 90.00
_cell_angle_gamma 120.00
_space_group_name_H-M_alt 'P -3 1 c'
_space_group_IT_number 163
_space_group_name_Hall '-P 3 2c'
loop_
_atom_site_label
_atom_site_type_symbol
_atom_site_fract_x
_atom_site_fract_y
_atom_site_fract_z
Mg1 Mg 0.0000 0.0000 0.0000
Al1 Al 0.3333 0.6667 0.2500
W1 W 0.3333 0.6667 0.7500
O1 O 0.0046 0.3542 0.1348
```

Total DFT energy (no corrections) (eV/atom): -6.8973